A relaxed LaTiOs3 crystal. Source: Alexandria, functional PBE.

Output
Its total energy is -6.77 eV per atom. As for the energy relative to the elements: 12.649 eV/f.u.

a = 4.779 Å, b = 4.779 Å, c = 4.779 Å
α = 90.00°, β = 90.00°, γ = 90.00°
Space group Pm-3m (No. 221)
Inequivalent atoms, fractional coordinates:
1 La 0.000 0.000 0.000
2 Ti 0.500 0.500 0.500
3 Os 0.000 0.000 0.500